Entry from the Alexandria database: an optimized crystal structure of PmHoMgAg (GGA-PBE).

a b c (Å): 5.2962 5.2962 5.2962
angles (deg): 60.00 60.00 60.00
Element x y z (fractional)
Mg1 0.7500 0.7500 0.7500
Ho1 0.0000 0.0000 0.0000
Ag1 0.2500 0.2500 0.2500
Pm1 0.5000 0.5000 0.5000

Calculated values
**Density**: 6.989 g cm⁻³
**Excess energy over the best structure of this formula in the dataset**: 0.044 eV/atom
**VASP energy**: -3.583 eV per atom
**SG**: No. 216



Entry from the Alexandria database: an optimized crystal structure of PmHoMg2Ag4 (GGA-PBE).

a b c (Å): 4.9972 4.9972 8.5955
angles (deg): 73.10 73.10 60.00
Element x y z (fractional)
Pm1 0.0000 0.0000 0.0000
Ho1 0.5000 0.5000 0.5000
Mg1 0.7503 0.7503 0.7491
Mg2 0.2497 0.2497 0.2509
Ag1 0.3770 0.3770 0.8690
Ag2 0.8716 0.8716 0.3852
Ag3 0.1284 0.1284 0.6148
Ag4 0.6230 0.6230 0.1310

Calculated values
**Density**: 7.492 g cm⁻³
**VASP energy**: -3.282 eV per atom
**SG**: No. 166



Entry from the Alexandria database: an optimized crystal structure of PrHoMg2Ag4 (GGA-PBE).

a b c (Å): 5.0143 5.0143 8.6652
angles (deg): 73.18 73.18 60.00
Element x y z (fractional)
Pr1 0.0000 0.0000 0.0000
Ho1 0.5000 0.5000 0.5000
Mg1 0.7508 0.7508 0.7477
Mg2 0.2492 0.2492 0.2523
Ag1 0.3789 0.3789 0.8634
Ag2 0.8710 0.8710 0.3870
Ag3 0.1290 0.1290 0.6130
Ag4 0.6211 0.6211 0.1366

Calculated values
**Density**: 7.338 g cm⁻³
**VASP energy**: -3.278 eV per atom
**SG**: No. 166



Entry from the Alexandria database: an optimized crystal structure of HoMgAgPt (GGA-PBE).

a b c (Å): 4.8233 4.8233 4.8233
angles (deg): 60.00 60.00 60.00
Element x y z (fractional)
Ag1 0.2500 0.2500 0.2500
Mg1 0.0000 0.0000 0.0000
Ho1 0.5000 0.5000 0.5000
Pt1 0.7500 0.7500 0.7500

Calculated values
**Density**: 10.301 g cm⁻³
**VASP energy**: -4.461 eV per atom
**SG**: No. 216



Entry from the Alexandria database: an optimized crystal structure of Ho4MgAgRu2 (GGA-PBE).

a b c (Å): 4.9589 4.9589 8.6207
angles (deg): 73.28 73.28 60.00
Element x y z (fractional)
Ho1 0.3770 0.3770 0.8690
Ho2 0.8734 0.8734 0.3798
Ho3 0.1266 0.1266 0.6202
Ho4 0.6230 0.6230 0.1310
Mg1 0.0000 0.0000 0.0000
Ag1 0.5000 0.5000 0.5000
Ru1 0.7475 0.7475 0.7576
Ru2 0.2525 0.2525 0.2424

Calculated values
**Density**: 9.532 g cm⁻³
**VASP energy**: -5.462 eV per atom
**SG**: No. 166



Entry from the Alexandria database: an optimized crystal structure of HoMgAgRu (GGA-PBE).

a b c (Å): 4.7645 4.7645 4.7645
angles (deg): 60.00 60.00 60.00
Element x y z (fractional)
Ru1 0.7500 0.7500 0.7500
Mg1 0.5000 0.5000 0.5000
Ho1 0.0000 0.0000 0.0000
Ag1 0.2500 0.2500 0.2500

Calculated values
**Density**: 8.645 g cm⁻³
**VASP energy**: -4.761 eV per atom
**SG**: No. 216



Entry from the Alexandria database: an optimized crystal structure of Ho2MgAg3Se6 (GGA-PBE).

a b c (Å): 4.0596 7.6115 9.8631
angles (deg): 103.45 101.88 90.00
Element x y z (fractional)
Ho1 0.8383 0.6609 0.6767
Ho2 0.1617 0.3391 0.3233
Mg1 0.5000 0.0000 0.0000
Ag1 0.5000 0.5000 0.0000
Ag2 0.8504 0.1732 0.7009
Ag3 0.1496 0.8268 0.2991
Se1 0.3570 0.9289 0.7141
Se2 0.6857 0.6124 0.3714
Se3 0.6430 0.0711 0.2859
Se4 0.0084 0.2675 0.0168
Se5 0.9916 0.7325 0.9832
Se6 0.3143 0.3876 0.6286

Calculated values
**Density**: 6.601 g cm⁻³
**VASP energy**: -4.297 eV per atom
**SG**: No. 12



Entry from the Alexandria database: an optimized crystal structure of HoMgSiAg (GGA-PBE).

a b c (Å): 4.8560 4.8560 4.8560
angles (deg): 60.00 60.00 60.00
Element x y z (fractional)
Mg1 0.7500 0.7500 0.7500
Si1 0.5000 0.5000 0.5000
Ho1 0.2500 0.2500 0.2500
Ag1 0.0000 0.0000 0.0000

Calculated values
**Density**: 6.669 g cm⁻³
**VASP energy**: -3.933 eV per atom
**SG**: No. 216



Entry from the Alexandria database: an optimized crystal structure of SmHoMg2Ag4 (GGA-PBE).

a b c (Å): 4.9921 4.9921 8.5690
angles (deg): 73.06 73.06 60.00
Element x y z (fractional)
Sm1 0.0000 0.0000 0.0000
Ho1 0.5000 0.5000 0.5000
Mg1 0.7502 0.7502 0.7493
Mg2 0.2498 0.2498 0.2507
Ag1 0.3762 0.3762 0.8714
Ag2 0.8718 0.8718 0.3846
Ag3 0.1282 0.1282 0.6154
Ag4 0.6238 0.6238 0.1286

Calculated values
**Density**: 7.584 g cm⁻³
**VASP energy**: -3.279 eV per atom
**SG**: No. 166



Entry from the Alexandria database: an optimized crystal structure of HoMg2Ag2Sn2 (GGA-PBE).

a b c (Å): 4.6510 4.6510 8.7077
angles (deg): 74.51 74.51 60.00
Element x y z (fractional)
Ho1 0.0000 0.0000 0.0000
Mg1 0.1382 0.1382 0.5855
Mg2 0.8618 0.8618 0.4145
Ag1 0.5598 0.5598 0.3205
Ag2 0.4402 0.4402 0.6795
Sn1 0.7335 0.7335 0.7996
Sn2 0.2665 0.2665 0.2004

Calculated values
**Density**: 7.134 g cm⁻³
**VASP energy**: -3.384 eV per atom
**SG**: No. 166



Entry from the Alexandria database: an optimized crystal structure of HoMgAgSn (GGA-PBE).

a b c (Å): 5.0651 5.0651 5.0651
angles (deg): 60.00 60.00 60.00
Element x y z (fractional)
Mg1 0.0000 0.0000 0.0000
Ho1 0.5000 0.5000 0.5000
Ag1 0.7500 0.7500 0.7500
Sn1 0.2500 0.2500 0.2500

Calculated values
**Density**: 7.514 g cm⁻³
**VASP energy**: -3.643 eV per atom
**SG**: No. 216



Entry from the Alexandria database: an optimized crystal structure of SrHoMg2Ag4 (GGA-PBE).

a b c (Å): 4.8169 4.8169 9.8841
angles (deg): 75.90 75.90 60.00
Element x y z (fractional)
Sr1 0.0000 0.0000 0.0000
Ho1 0.5000 0.5000 0.5000
Mg1 0.7605 0.7605 0.7184
Mg2 0.2395 0.2395 0.2816
Ag1 0.3975 0.3975 0.8075
Ag2 0.8820 0.8820 0.3539
Ag3 0.1180 0.1180 0.6461
Ag4 0.6025 0.6025 0.1925

Calculated values
**Density**: 6.383 g cm⁻³
**VASP energy**: -2.864 eV per atom
**SG**: No. 166



Entry from the Alexandria database: an optimized crystal structure of HoThMgAg (GGA-PBE).

a b c (Å): 5.3051 5.3051 5.3051
angles (deg): 60.00 60.00 60.00
Site moments in Bohr magnetons follow the coordinates.
Element x y z (fractional)
Ag1 0.7500 0.7500 0.7500  0.03
Mg1 0.2500 0.2500 0.2500  0.00
Ho1 0.5000 0.5000 0.5000  0.20
Th1 0.0000 0.0000 0.0000  0.19

Calculated values
**Density**: 8.323 g cm⁻³
**VASP energy**: -4.123 eV per atom
**SG**: No. 216



Entry from the Alexandria database: an optimized crystal structure of HoMgTlAg (GGA-PBE).

a b c (Å): 5.0582 5.0582 5.0582
angles (deg): 60.00 60.00 60.00
Element x y z (fractional)
Mg1 0.5000 0.5000 0.5000
Tl1 0.7500 0.7500 0.7500
Ho1 0.0000 0.0000 0.0000
Ag1 0.2500 0.2500 0.2500

Calculated values
**Density**: 9.100 g cm⁻³
**VASP energy**: -3.134 eV per atom
**SG**: No. 216



Entry from the Alexandria database: an optimized crystal structure of HoTmMgAg (GGA-PBE).

a b c (Å): 3.6977 3.6977 7.2607
angles (deg): 90.00 90.00 90.00
Element x y z (fractional)
Ho1 0.0000 0.0000 0.3667
Tm1 0.0000 0.0000 0.8461
Mg1 0.5000 0.5000 0.1039
Ag1 0.5000 0.5000 0.6113

Calculated values
**Density**: 7.795 g cm⁻³
**Excess energy over the best structure of this formula in the dataset**: 0.000 eV/atom
**VASP energy**: -3.560 eV per atom
**SG**: No. 99



Entry from the Alexandria database: an optimized crystal structure of HoTmMgAg (GGA-PBE).

a b c (Å): 5.2013 5.2013 5.2013
angles (deg): 60.00 60.00 60.00
Element x y z (fractional)
Mg1 0.7500 0.7500 0.7500
Tm1 0.5000 0.5000 0.5000
Ho1 0.0000 0.0000 0.0000
Ag1 0.2500 0.2500 0.2500

Calculated values
**Density**: 7.778 g cm⁻³
**Excess energy over the best structure of this formula in the dataset**: 0.041 eV/atom
**VASP energy**: -3.519 eV per atom
**SG**: No. 216



Entry from the Alexandria database: an optimized crystal structure of YHoMgAg (GGA-PBE).

a b c (Å): 5.2402 5.2402 5.2402
angles (deg): 60.00 60.00 60.00
Element x y z (fractional)
Y1 0.0000 0.0000 0.0000
Mg1 0.2500 0.2500 0.2500
Ho1 0.5000 0.5000 0.5000
Ag1 0.7500 0.7500 0.7500

Calculated values
**Density**: 6.300 g cm⁻³
**Excess energy over the best structure of this formula in the dataset**: 0.043 eV/atom
**VASP energy**: -4.027 eV per atom
**SG**: No. 216



Entry from the Alexandria database: an optimized crystal structure of YHoMgAg (GGA-PBE).

a b c (Å): 3.7221 3.7221 7.3182
angles (deg): 90.00 90.00 90.00
Element x y z (fractional)
Y1 0.0000 0.0000 0.3651
Ho1 0.0000 0.0000 0.8466
Mg1 0.5000 0.5000 0.1041
Ag1 0.5000 0.5000 0.6122

Calculated values
**Density**: 6.322 g cm⁻³
**Excess energy over the best structure of this formula in the dataset**: 0.000 eV/atom
**VASP energy**: -4.070 eV per atom
**SG**: No. 99



Entry from the Alexandria database: an optimized crystal structure of HoMgZnAg (GGA-PBE).

a b c (Å): 4.8745 4.8745 4.8745
angles (deg): 60.00 60.00 60.00
Element x y z (fractional)
Mg1 0.5000 0.5000 0.5000
Zn1 0.2500 0.2500 0.2500
Ho1 0.0000 0.0000 0.0000
Ag1 0.7500 0.7500 0.7500

Calculated values
**Density**: 7.350 g cm⁻³
**VASP energy**: -2.894 eV per atom
**SG**: No. 216



Entry from the Alexandria database: an optimized crystal structure of Ho4MgZn2Ag (GGA-PBE).

a b c (Å): 5.1162 5.1162 8.8762
angles (deg): 73.25 73.25 60.00
Element x y z (fractional)
Ho1 0.3785 0.3785 0.8644
Ho2 0.8726 0.8726 0.3823
Ho3 0.1274 0.1274 0.6177
Ho4 0.6215 0.6215 0.1356
Mg1 0.0000 0.0000 0.0000
Zn1 0.7427 0.7427 0.7719
Zn2 0.2573 0.2573 0.2281
Ag1 0.5000 0.5000 0.5000

Calculated values
**Density**: 8.075 g cm⁻³
**VASP energy**: -3.427 eV per atom
**SG**: No. 166



Entry from the Alexandria database: an optimized crystal structure of Ho4MgZnAg2 (GGA-PBE).

a b c (Å): 5.1431 5.1431 8.9241
angles (deg): 73.25 73.25 60.00
Element x y z (fractional)
Ho1 0.3808 0.3808 0.8575
Ho2 0.8701 0.8701 0.3896
Ho3 0.1299 0.1299 0.6104
Ho4 0.6192 0.6192 0.1425
Mg1 0.0000 0.0000 0.0000
Zn1 0.5000 0.5000 0.5000
Ag1 0.7431 0.7431 0.7708
Ag2 0.2569 0.2569 0.2292

Calculated values
**Density**: 8.314 g cm⁻³
**VASP energy**: -3.608 eV per atom
**SG**: No. 166



Entry from the Alexandria database: an optimized crystal structure of HoMgZrAg (GGA-PBE).

a b c (Å): 5.0709 5.0709 5.0709
angles (deg): 60.00 60.00 60.00
Site moments in Bohr magnetons follow the coordinates.
Element x y z (fractional)
Zr1 0.5000 0.5000 0.5000  0.50
Mg1 0.7500 0.7500 0.7500  0.00
Ho1 0.0000 0.0000 0.0000  0.24
Ag1 0.2500 0.2500 0.2500  0.04

Calculated values
**Density**: 6.994 g cm⁻³
**VASP energy**: -4.375 eV per atom
**SG**: No. 216



Entry from the Alexandria database: an optimized crystal structure of Ho6Mn2Ag (GGA-PBE).

a b c (Å): 8.3186 8.3186 8.3186
angles (deg): 107.74 110.66 110.03
Site moments in Bohr magnetons follow the coordinates.
Element x y z (fractional)
Ho1 0.5294 0.7170 0.8124  -0.11
Ho2 0.4706 0.2830 0.1876  -0.11
Ho3 0.0954 0.2830 0.8124  -0.11
Ho4 0.9046 0.7170 0.1876  -0.11
Ho5 0.7893 0.7722 0.5615  0.00
Ho6 0.2107 0.2278 0.4385  0.00
Ho7 0.2107 0.7722 0.9829  0.00
Ho8 0.7893 0.2278 0.0171  0.00
Ho9 0.7062 0.3940 0.6878  -0.11
Ho10 0.2938 0.6060 0.3122  -0.11
Ho11 0.2938 0.9816 0.6878  -0.11
Ho12 0.7062 0.0184 0.3122  -0.11
Mn1 0.5000 0.3938 0.8938  0.96
Mn2 0.5000 0.6062 0.1062  0.96
Mn3 0.6130 0.0000 0.6130  1.26
Mn4 0.3870 0.0000 0.3870  1.26
Ag1 0.0000 0.5000 0.5000  -0.02
Ag2 0.0000 0.0000 0.0000  -0.01

Calculated values
**Density**: 9.055 g cm⁻³
**VASP energy**: -5.426 eV per atom
**SG**: No. 71



Entry from the Alexandria database: an optimized crystal structure of Ho2MnAg (GGA-PBE).

a b c (Å): 3.5376 3.5376 7.2629
angles (deg): 90.00 90.00 90.00
Site moments in Bohr magnetons follow the coordinates.
Element x y z (fractional)
Mn1 0.5000 0.5000 0.0000  3.38
Ho1 0.0000 0.0000 0.7617  -0.15
Ho2 0.0000 0.0000 0.2383  -0.15
Ag1 0.5000 0.5000 0.5000  0.02

Calculated values
**Density**: 9.001 g cm⁻³
**VASP energy**: -5.376 eV per atom
**SG**: No. 123



Entry from the Alexandria database: an optimized crystal structure of PrHoMnAg (GGA-PBE).

a b c (Å): 5.1826 5.1826 5.1826
angles (deg): 60.00 60.00 60.00
Site moments in Bohr magnetons follow the coordinates.
Element x y z (fractional)
Pr1 0.7500 0.7500 0.7500  -0.18
Mn1 0.0000 0.0000 0.0000  3.62
Ho1 0.2500 0.2500 0.2500  -0.27
Ag1 0.5000 0.5000 0.5000  -0.02

Calculated values
**Density**: 7.906 g cm⁻³
**VASP energy**: -5.312 eV per atom
**SG**: No. 216



Entry from the Alexandria database: an optimized crystal structure of HoPuMnAg (GGA-PBE).

a b c (Å): 5.0954 5.0954 5.0954
angles (deg): 60.00 60.00 60.00
Site moments in Bohr magnetons follow the coordinates.
Element x y z (fractional)
Mn1 0.2500 0.2500 0.2500  3.46
Ho1 0.0000 0.0000 0.0000  -0.07
Ag1 0.7500 0.7500 0.7500  0.01
Pu1 0.5000 0.5000 0.5000  5.18

Calculated values
**Density**: 10.149 g cm⁻³
**VASP energy**: -7.454 eV per atom
**SG**: No. 216



Entry from the Alexandria database: an optimized crystal structure of Ho3MnAg3S8 (GGA-PBE).

a b c (Å): 7.7530 7.7517 7.8151
angles (deg): 120.02 90.00 120.01
Site moments in Bohr magnetons follow the coordinates.
Element x y z (fractional)
Ho1 0.5000 0.0000 0.5000  0.02
Ho2 0.5000 0.5000 0.5000  0.02
Ho3 0.0000 0.5000 0.5000  0.02
Mn1 0.0000 0.0000 0.5000  3.04
Ag1 0.0000 0.0000 0.0000  0.01
Ag2 0.0000 0.5000 0.0000  0.01
Ag3 0.5000 0.5000 0.0000  0.01
S1 0.2542 0.5085 0.2647  0.02
S2 0.7458 0.4915 0.7353  0.02
S3 0.7792 0.5583 0.2828  -0.03
S4 0.2208 0.4417 0.7172  -0.03
S5 0.7791 0.0016 0.2826  -0.03
S6 0.2209 0.9984 0.7174  -0.03
S7 0.2225 0.0016 0.2826  -0.03
S8 0.7775 0.9984 0.7174  -0.03

Calculated values
**Density**: 5.651 g cm⁻³
**VASP energy**: -5.377 eV per atom
**SG**: No. 12